[1]
Here is Ba2SnCl after structural relaxation from Alexandria via LeMat-Bulk. Energies are from PBE-GGA.

abc: 4.772 4.772 8.762
angles: 74.20 74.20 60.00
Sites, in units of the cell vectors:
Sn 0.000 0.000 0.000
Cl 0.500 0.500 0.500
Ba 0.248 0.248 0.255
Ba 0.752 0.752 0.745

Values from the calculation:
raw formation energy	-1.21	eV/atom
size of the total moment	0.000	μB per atom

---

[2]
Here is Cs2NaTlHg6 after structural relaxation from Alexandria via LeMat-Bulk. Energies are from PBE-GGA.

abc: 8.424 8.424 8.424
angles: 60.00 60.00 90.00
Sites, in units of the cell vectors:
Hg 0.255 0.745 0.000
Hg 0.745 0.255 0.000
Hg 0.745 0.745 0.000
Hg 0.745 0.745 0.509
Hg 0.255 0.255 0.000
Hg 0.255 0.255 0.491
Tl 0.000 0.000 0.000
Na 0.500 0.500 0.000
Cs 0.250 0.750 0.500
Cs 0.750 0.250 0.500

Values from the calculation:
energy of formation from the pure elements	-0.114	eV/atom
size of the total moment	0.000	μB per atom

---

[3]
Here is TaCuO4 after structural relaxation from Alexandria via LeMat-Bulk. Energies are from PBE-GGA.

abc: 4.695 5.016 5.606
angles: 90.00 90.00 90.00
Sites, in units of the cell vectors:
Cu 0.500 0.500 0.657
Cu 0.000 0.500 0.157
O 0.230 0.323 0.895
O 0.270 0.323 0.395
O 0.730 0.677 0.395
O 0.724 0.163 0.616
O 0.224 0.837 0.116
O 0.776 0.163 0.116
O 0.276 0.837 0.616
O 0.770 0.677 0.895
Ta 0.500 0.000 0.321
Ta 0.000 0.000 0.821

Values from the calculation:
raw formation energy	-1.71	eV/atom
size of the total moment	0.209	μB per atom

---

[4]
Here is ZrTaCl after structural relaxation from Alexandria via LeMat-Bulk. Energies are from PBE-GGA.

abc: 4.384 4.384 4.384
angles: 60.00 60.00 60.00
Sites, in units of the cell vectors:
Cl 0.250 0.250 0.250
Ta 0.000 0.000 0.000
Zr 0.500 0.500 0.500

Values from the calculation:
raw formation energy	0.68	eV/atom
size of the total moment	0.000	μB per atom

---

[5]
Here is TlIn3Sn2Pb3 after structural relaxation from Alexandria via LeMat-Bulk. Energies are from PBE-GGA.

abc: 3.421 9.442 9.442
angles: 120.00 90.00 90.00
Sites, in units of the cell vectors:
Sn 0.500 0.333 0.667
Sn 0.500 0.667 0.333
Pb 0.000 0.000 0.370
Pb 0.000 0.370 0.000
Pb 0.000 0.630 0.630
In 0.500 0.308 0.308
In 0.500 0.692 0.000
In 0.500 0.000 0.692
Tl 0.000 0.000 0.000

Values from the calculation:
energy of formation from the pure elements	0.039	eV/atom
size of the total moment	0.000	μB per atom

---

[6]
Here is LiLaPb2 after structural relaxation from Alexandria via LeMat-Bulk. Energies are from PBE-GGA.

abc: 3.701 3.701 7.910
angles: 90.00 90.00 90.06
Sites, in units of the cell vectors:
Pb 0.000 0.000 0.539
Pb 0.000 0.000 0.961
La 0.500 0.500 0.250
Li 0.500 0.500 0.750

Values from the calculation:
energy of formation from the pure elements	-0.400	eV/atom
size of the total moment	0.000	μB per atom

---

[7]
Here is Cu2SiTe after structural relaxation from Alexandria via LeMat-Bulk. Energies are from PBE-GGA.

abc: 4.285 4.285 3.729
angles: 90.00 90.00 90.00
Sites, in units of the cell vectors:
Te 0.000 0.500 0.500
Cu 0.500 0.500 0.000
Cu 0.000 0.000 0.000
Si 0.500 0.000 0.500

Values from the calculation:
raw formation energy	0.42	eV/atom
size of the total moment	0.000	μB per atom

---

[8]
Here is UPa2Sb after structural relaxation from Alexandria via LeMat-Bulk. Energies are from PBE-GGA.

abc: 4.469 4.587 4.587
angles: 90.00 90.00 90.00
Sites, in units of the cell vectors:
U 0.500 0.500 0.500
Pa 0.000 0.000 0.500
Pa 0.000 0.500 0.000
Sb 0.500 0.000 0.000

Values from the calculation:
raw formation energy	-0.25	eV/atom
size of the total moment	0.135	μB per atom